[1]
# ZnIr2C, optimized geometry, DFT GGA-PBE
data_ZnIr2C
_chemical_formula_sum 'Zn2 Ir4 C2'
_symmetry_space_group_name_H-M 'P 1'
_symmetry_Int_Tables_number 1
_symmetry_space_group_name_Hall 'P 1'
_cell_length_a 6.4655
_cell_length_b 6.4655
_cell_length_c 5.2619
_cell_angle_alpha 52.09
_cell_angle_beta 52.09
_cell_angle_gamma 90.00
loop_
_atom_site_label
_atom_site_type_symbol
_atom_site_fract_x
_atom_site_fract_y
_atom_site_fract_z
Ir1 Ir 0.8750 0.7691 0.7500
Ir2 Ir 0.3750 0.4809 0.7500
Ir3 Ir 0.2309 0.6250 0.2500
Ir4 Ir 0.5191 0.1250 0.2500
C1 C 0.2500 0.7500 0.5000
C2 C 0.5000 0.5000 0.0000
Zn1 Zn 0.7500 0.2500 0.5000
Zn2 Zn 0.0000 0.0000 0.0000
# Energy relative to the elements   6.75 kcal/mol of atoms
# Space group   I-42d, No. 122



[2]
# RbLiS3, optimized geometry, DFT GGA-PBE
data_RbLiS3
_chemical_formula_sum 'Rb1 Li1 S3'
_symmetry_space_group_name_H-M 'P 1'
_symmetry_Int_Tables_number 1
_symmetry_space_group_name_Hall 'P 1'
_cell_length_a 5.9260
_cell_length_b 5.9260
_cell_length_c 5.9260
_cell_angle_alpha 90.00
_cell_angle_beta 90.00
_cell_angle_gamma 90.00
loop_
_atom_site_label
_atom_site_type_symbol
_atom_site_fract_x
_atom_site_fract_y
_atom_site_fract_z
S1 S 0.0000 0.0000 0.5000
S2 S 0.0000 0.5000 0.0000
S3 S 0.5000 0.0000 0.0000
Li1 Li 0.5000 0.5000 0.5000
Rb1 Rb 0.0000 0.0000 0.0000
# Space group   Pm-3m, No. 221
# E_form (uncorrected)   0.78 eV/atom